LaDyPdPb, optimized geometry, DFT PBE; density of states at the Fermi level = 0.52 states/eV/atom; E_form = -598 meV/atom
1.0
7.562 0.000 0.000
0.000 7.562 0.000
0.000 0.000 7.562
La Dy Pd Pb
4 4 4 4
direct
0.000 0.000 0.000
0.000 0.500 0.500
0.500 0.000 0.500
0.500 0.500 0.000
0.000 0.000 0.500
0.000 0.500 0.000
0.500 0.000 0.000
0.500 0.500 0.500
0.250 0.250 0.250
0.250 0.750 0.750
0.750 0.250 0.750
0.750 0.750 0.250
0.250 0.250 0.750
0.250 0.750 0.250
0.750 0.250 0.250
0.750 0.750 0.750